# 1
Density functional theory data (PBE) for RbTa2BOs after structural relaxation.

Unit cell a=4.8609 b=4.8609 c=3.9303 alpha=90.00 beta=90.00 gamma=90.00
Closest atoms and distances in Å follow each position.
Space group P4/mmm (No. 123)
Unique sites:
Rb  0.0000  0.0000  0.0000 (multiplicity 1)  2 B 1.97
Ta  0.0000  0.5000  0.0000 (multiplicity 2)  2 Rb 2.43
B  0.0000  0.0000  0.5000 (multiplicity 1)  2 Rb 1.97
Os  0.5000  0.5000  0.5000 (multiplicity 1)  8 Ta 3.13, 4 B 3.44

Results
* D(E_F): 6.3 states/eV per cell
* formation enthalpy at 0 K: 3.68 eV per atom
* total magnetic moment: 0.15 μB/atom


# 2
Density functional theory data (PBE) for GaFeTc after structural relaxation.

Unit cell a=2.7432 b=2.7432 c=6.2700 alpha=90.00 beta=90.00 gamma=120.00
Closest atoms and distances in Å follow each position.
Space group P3m1 (No. 156)
Unique sites:
Ga  0.0000  0.0000  0.0000 (multiplicity 1)  3 Fe 2.59, 6 Ga 2.74, 3 Tc 2.75
Fe  0.3333  0.6667  0.6741 (multiplicity 1)  3 Tc 2.54, 3 Ga 2.59, 6 Fe 2.74
Tc  0.6667  0.3333  0.3580 (multiplicity 1)  3 Fe 2.54, 6 Tc 2.74, 3 Ga 2.75

Results
* D(E_F): 1.7 states/eV per cell
* formation enthalpy at 0 K: 0.01 eV per atom
* total magnetic moment: 0.56 μB/atom
* ΔE to the lowest computed polymorph: 0.099 eV/atom


# 3
Density functional theory data (PBE) for ScTl2Br after structural relaxation.

Unit cell a=5.4568 b=3.4428 c=5.7091 alpha=90.00 beta=90.10 gamma=90.00
Closest atoms and distances in Å follow each position.
Space group P2/m (No. 10)
Unique sites:
Sc  0.0000  0.0000  0.0000 (multiplicity 1)  4 Br 3.23, 4 Tl 3.33, 2 Sc 3.44
Tl  0.0000  0.5000  0.5000 (multiplicity 1)  6 Tl 3.23-3.44, 4 Sc 3.33
Tl  0.5000  0.0000  0.5000 (multiplicity 1)  6 Tl 3.23-3.44, 4 Br 3.33
Br  0.5000  0.5000  0.0000 (multiplicity 1)  4 Sc 3.23, 4 Tl 3.33, 2 Br 3.44

Results
* D(E_F): 1.8 states/eV per cell
* total magnetic moment: 0.11 μB/atom
* ΔE to the lowest computed polymorph: 0.296 eV/atom
* formation energy (no corrections): -0.264 eV/atom


| no. | VASP energy (eV for the cell shown) | theoretical density (g cm⁻³) |
| --- | --- | --- |
| 1 | -24.196 | 11.59 |
| 2 | -21.820 | 9.09 |
| 3 | -13.795 | 8.26 |